No. 1
DFT (PBE) results for a relaxed structure of LuMgAgTe2S.

Values from the calculation:
total magnetic moment: 0.01 μB per formula unit
VASP energy: -4.04 eV/atom

abc: 4.114 13.956 10.439
angles: 90.00 90.00 90.00
Space group Cmcm (No. 63)
One atom of each set of equivalent atoms:
Lu 0.000 0.000 0.000 x4
Mg 0.000 0.280 0.250 x4
Ag 0.000 0.486 0.750 x4
Te 0.000 0.348 0.563 x8
S 0.000 0.099 0.750 x4

No. 2
DFT (PBE) results for a relaxed structure of ZrScTlCu.

Values from the calculation:
excess energy over the best structure of this formula in the dataset: 0.000 eV/atom
total magnetic moment: 2.95 μB per formula unit
VASP energy: -5.03 eV/atom

abc: 6.888 6.888 6.888
angles: 90.00 90.00 90.00
Space group F-43m (No. 216)
One atom of each set of equivalent atoms:
Zr 0.000 0.000 0.000 x4
Sc 0.250 0.250 0.250 x4
Tl 0.000 0.000 0.500 x4
Cu 0.250 0.250 0.750 x4

No. 3
DFT (PBE) results for a relaxed structure of HoErNp.

Values from the calculation:
excess energy over the best structure of this formula in the dataset: 0.000 eV/atom
total magnetic moment: 5.38 μB per formula unit
VASP energy: -6.14 eV/atom

abc: 7.485 7.485 7.485
angles: 90.00 90.00 90.00
Space group F-43m (No. 216)
One atom of each set of equivalent atoms:
Ho 0.000 0.000 0.000 x4
Er 0.250 0.250 0.750 x4
Np 0.250 0.250 0.250 x4

No. 4
DFT (PBE) results for a relaxed structure of Cu2Ag3.

Values from the calculation:
excess energy over the best structure of this formula in the dataset: 0.052 eV/atom
VASP energy: -3.10 eV/atom

abc: 8.944 3.965 8.778
angles: 90.00 91.68 90.00
Space group Cm (No. 8)
One atom of each set of equivalent atoms:
Cu 0.000 0.000 0.000 x2
Cu 0.016 0.500 0.526 x2
Cu 0.212 0.500 0.911 x2
Cu 0.428 0.000 0.819 x2
Ag 0.105 0.500 0.200 x2
Ag 0.122 0.000 0.728 x2
Ag 0.212 0.000 0.419 x2
Ag 0.304 0.000 0.092 x2
Ag 0.324 0.500 0.627 x2
Ag 0.413 0.500 0.314 x2

No. 5
DFT (PBE) results for a relaxed structure of SmGeB4.

Values from the calculation:
excess energy over the best structure of this formula in the dataset: 0.000 eV/atom
total magnetic moment: 0.00 μB per formula unit
VASP energy: -6.04 eV/atom

abc: 3.199 5.186 8.427
angles: 90.00 90.00 90.00
Space group Immm (No. 71)
One atom of each set of equivalent atoms:
Sm 0.000 0.000 0.000 x2
Ge 0.000 0.000 0.500 x2
B 0.000 0.325 0.260 x8

No. 6
DFT (PBE) results for a relaxed structure of MgNpNi.

Values from the calculation:
total magnetic moment: 4.89 μB per formula unit
VASP energy: -5.60 eV/atom

abc: 6.473 6.473 6.473
angles: 90.00 90.00 90.00
Space group F-43m (No. 216)
One atom of each set of equivalent atoms:
Mg 0.000 0.000 0.000 x4
Np 0.250 0.250 0.250 x4
Ni 0.250 0.250 0.750 x4

No. 7
DFT (PBE) results for a relaxed structure of SiHg3O2F6.

Values from the calculation:
VASP energy: -4.08 eV/atom

abc: 6.9446 6.9446 4.3238
angles: 90.00 90.00 120.00
Space group P-3m1 (No. 164)
One atom of each set of equivalent atoms:
Si 0.0000 0.0000 0.0000 x1
Hg 0.0000 0.5000 0.5000 x3
O 0.3333 0.6667 0.5834 x2
F 0.1179 0.2359 0.7795 x6

No. 8
DFT (PBE) results for a relaxed structure of Sm3Cd3GaPd2.

Values from the calculation:
total magnetic moment: 0.01 μB per formula unit
VASP energy: -3.98 eV/atom

abc: 7.7721 7.7721 3.9586
angles: 90.00 90.00 120.00
Space group P-62m (No. 189)
One atom of each set of equivalent atoms:
Sm 0.0000 0.4110 0.0000 x3
Cd 0.0000 0.7423 0.5000 x3
Ga 0.0000 0.0000 0.0000 x1
Pd 0.3333 0.6667 0.5000 x2